Density functional theory data (PBE with a Hubbard U) for a geometry-optimized RbYV2O6 structure.

Output
electronic total energy	-7.577	eV per atom
space group	C2/c, No. 15

Cell lengths 7.4294, 7.4294, 6.0811 Å; angles 100.35, 100.35, 86.17 degrees
Atoms (fractional coordinates):
1 Y 0.4025 0.5975 0.7500
2 Y 0.5975 0.4025 0.2500
3 O 0.8468 0.8255 0.4584
4 O 0.0997 0.6105 0.7659
5 O 0.4596 0.3208 0.8801
6 O 0.3208 0.4596 0.3801
7 O 0.9003 0.3895 0.2341
8 O 0.1532 0.1745 0.5416
9 O 0.6105 0.0997 0.2659
10 O 0.1745 0.1532 0.0416
11 O 0.6792 0.5404 0.6199
12 O 0.8255 0.8468 0.9584
13 O 0.5404 0.6792 0.1199
14 O 0.3895 0.9003 0.7341
15 Rb 0.8197 0.1803 0.7500
16 Rb 0.1803 0.8197 0.2500
17 V 0.1268 0.3060 0.3065
18 V 0.3060 0.1268 0.8065
19 V 0.6940 0.8732 0.1935
20 V 0.8732 0.6940 0.6935